Compound: AgHg4H
Source: the Alexandria database
Functional: PBE
Structure: relaxed

Results
* E_tot: -1.07 eV per atom
* total magnetization: 0.00 μB/cell

Cell: 9.4167 12.1666 5.6139 Å, 90.00 115.45 90.00°
Last column: nearest neighbours and their distance in Å.
Space group C2/c (No. 15)
Asymmetric unit:
Ag  0.0000  0.0041  0.2500 x4  2 Ag 2.81, 8 Hg 2.87-3.05
Hg  0.1137  0.2075  0.0662 x8  3 Hg 3.01-3.26, 2 Ag 3.05, 1 H 3.31
Hg  0.2131  0.4308  0.3131 x8  1 H 1.88
H  0.0000  0.4370  0.2500 x4  2 Hg 1.88

Compound: Ag2HgH
Source: the Alexandria database
Functional: PBE
Structure: relaxed

Results
* relative energy among the computed polymorphs: 391 meV/atom
* E_tot: -1.74 eV per atom
* total magnetization: 0.00 μB/cell

Cell: 6.5479 6.5479 6.5479 Å, 90.00 90.00 90.00°
Last column: nearest neighbours and their distance in Å.
Space group Fm-3m (No. 225)
Asymmetric unit:
Ag  0.2500  0.2500  0.2500 x8  4 Hg 2.84, 4 H 2.84
Hg  0.0000  0.0000  0.0000 x4  8 Ag 2.84
H  0.0000  0.0000  0.5000 x4  8 Ag 2.84

Compound: AgHg2H2
Source: the Alexandria database
Functional: PBE
Structure: relaxed

Results
* relative energy among the computed polymorphs: 193 meV/atom
* E_tot: -1.55 eV per atom
* total magnetization: 0.00 μB/cell

Cell: 3.2670 3.2670 13.7104 Å, 90.00 90.00 90.00°
Last column: nearest neighbours and their distance in Å.
Space group I4/mmm (No. 139)
Asymmetric unit:
Ag  0.0000  0.0000  0.0000 x2  8 Hg 3.03, 4 Ag 3.27
Hg  0.0000  0.0000  0.3571 x4  4 H 2.20
H  0.0000  0.5000  0.2500 x4  4 Hg 2.20, 4 H 2.31

Compound: AgHgH
Source: the Alexandria database
Functional: PBE
Structure: relaxed

Results
* relative energy among the computed polymorphs: 0 meV/atom
* E_tot: -2.07 eV per atom
* total magnetization: 0.00 μB/cell

Cell: 4.1425 4.1411 13.4455 Å, 90.00 97.03 90.00°
Last column: nearest neighbours and their distance in Å.
Space group C2/m (No. 12)
Asymmetric unit:
Ag  0.2191  0.0000  0.4230 x4  8 Ag 2.92-2.93, 4 Hg 3.21-3.26
Hg  0.1353  0.5000  0.2365 x4  4 Hg 2.93, 4 Ag 3.21-3.26
H  0.0046  0.0000  0.9722 x4  1 H 0.75

Compound: AgHg2H2
Source: the Alexandria database
Functional: PBE
Structure: relaxed

Results
* relative energy among the computed polymorphs: 86 meV/atom
* E_tot: -1.66 eV per atom
* total magnetization: 0.00 μB/cell

Cell: 6.4142 6.4142 3.8191 Å, 90.00 90.00 90.00°
Last column: nearest neighbours and their distance in Å.
Space group P4/mbm (No. 127)
Asymmetric unit:
Ag  0.0000  0.0000  0.0000 x2  4 H 2.37
Hg  0.1680  0.3320  0.5000 x4  2 H 1.91
H  0.1755  0.3245  0.0000 x4  2 Hg 1.91

Compound: AgHg2H
Source: the Alexandria database
Functional: PBE
Structure: relaxed

Results
* relative energy among the computed polymorphs: 0 meV/atom
* E_tot: -1.35 eV per atom
* total magnetization: 0.00 μB/cell

Cell: 6.5866 6.5866 6.9129 Å, 90.00 90.00 90.00°
Last column: nearest neighbours and their distance in Å.
Space group I-42d (No. 122)
Asymmetric unit:
Ag  0.0000  0.0000  0.0000 x4  4 Hg 2.85
Hg  0.1712  0.2500  0.6250 x8  2 H 2.17
H  0.0000  0.0000  0.5000 x4  4 Hg 2.17

Compound: AgHgH3
Source: the Alexandria database
Functional: PBE
Structure: relaxed

Results
* relative energy among the computed polymorphs: 0 meV/atom
* E_tot: -2.04 eV per atom
* total magnetization: 0.00 μB/cell

Cell: 3.8453 3.8453 3.8453 Å, 90.00 90.00 90.00°
Last column: nearest neighbours and their distance in Å.
Space group Pm-3m (No. 221)
Asymmetric unit:
Ag  0.0000  0.0000  0.0000 x1  6 H 1.92
Hg  0.5000  0.5000  0.5000 x1  12 H 2.72
H  0.0000  0.0000  0.5000 x3  2 Ag 1.92

Compound: Ag2HgH2
Source: the Alexandria database
Functional: PBE
Structure: relaxed

Results
* relative energy among the computed polymorphs: 257 meV/atom
* E_tot: -1.95 eV per atom
* total magnetization: 0.00 μB/cell

Cell: 6.8945 6.8945 2.8823 Å, 90.00 90.00 90.00°
Last column: nearest neighbours and their distance in Å.
Space group P4/mbm (No. 127)
Asymmetric unit:
Ag  0.1417  0.3583  0.0000 x4  4 H 2.31
Hg  0.0000  0.0000  0.5000 x2  4 H 2.75, 2 Hg 2.88, 8 Ag 3.02
H  0.1192  0.6192  0.5000 x4  4 Ag 2.31, 1 H 2.32

Compound: AgHgH
Source: the Alexandria database
Functional: PBE
Structure: relaxed

Results
* relative energy among the computed polymorphs: 32 meV/atom
* E_tot: -2.04 eV per atom
* total magnetization: 0.00 μB/cell

Cell: 2.9572 4.8769 8.0519 Å, 107.60 100.07 90.13°
Last column: nearest neighbours and their distance in Å.
Space group P-1 (No. 2)
Asymmetric unit:
Ag  0.2292  0.2277  0.4545 x2  6 Ag 2.92-2.96, 4 Hg 3.01-3.12
Hg  0.0991  0.6008  0.1973 x2  3 Hg 2.96-2.98, 4 Ag 3.01-3.12, 4 H 3.03-3.08
H  0.4797  0.9757  0.9498 x2  1 H 0.76

Compound: Ag3HgH
Source: the Alexandria database
Functional: PBE
Structure: relaxed

Results
* relative energy among the computed polymorphs: 899 meV/atom
* E_tot: -1.35 eV per atom
* total magnetization: 0.90 μB/cell

Cell: 5.3562 5.3562 5.3562 Å, 90.00 90.00 90.00°
Last column: nearest neighbours and their distance in Å.
Space group Pm-3m (No. 221)
Asymmetric unit:
Ag  0.0000  0.0000  0.5000 x3  2 Hg 2.68
Hg  0.0000  0.0000  0.0000 x1  6 Ag 2.68
H  0.5000  0.5000  0.5000 x1  12 Ag 3.79

Compound: Ag3HgH
Source: the Alexandria database
Functional: PBE
Structure: relaxed

Results
* relative energy among the computed polymorphs: 0 meV/atom
* E_tot: -2.25 eV per atom
* total magnetization: 0.00 μB/cell

Cell: 4.2792 4.2792 4.2792 Å, 90.00 90.00 90.00°
Last column: nearest neighbours and their distance in Å.
Space group Pm-3m (No. 221)
Asymmetric unit:
Ag  0.0000  0.0000  0.5000 x3  2 H 2.14
Hg  0.5000  0.5000  0.5000 x1  12 Ag 3.03
H  0.0000  0.0000  0.0000 x1  6 Ag 2.14

Compound: Ag2HgH
Source: the Alexandria database
Functional: PBE
Structure: relaxed

Results
* relative energy among the computed polymorphs: 0 meV/atom
* E_tot: -2.13 eV per atom
* total magnetization: 0.00 μB/cell

Cell: 3.1013 3.1013 22.2032 Å, 90.00 90.00 120.00°
Last column: nearest neighbours and their distance in Å.
Space group R-3m (No. 166, hexagonal axes)
Asymmetric unit:
Ag  0.0000  0.0000  0.2228 x6  3 H 2.18
Hg  0.0000  0.0000  0.0000 x3  6 Ag 3.04, 6 Hg 3.10
H  0.0000  0.0000  0.5000 x3  6 Ag 2.18

Compound: Ag2Hg3H2
Source: the Alexandria database
Functional: PBE
Structure: relaxed

Results
* E_tot: -1.67 eV per atom
* total magnetization: 0.00 μB/cell

Cell: 4.5652 5.1854 6.4613 Å, 97.18 90.03 114.13°
Last column: nearest neighbours and their distance in Å.
Space group P-1 (No. 2)
Asymmetric unit:
Ag  0.1901  0.3698  0.3664 x2  1 H 1.83
Hg  0.1445  0.2909  0.7945 x2  1 H 1.85
Hg  0.5000  0.0000  0.5000 x1  6 Ag 2.99-3.13, 4 Hg 3.13-3.19
H  0.1540  0.2989  0.0810 x2  1 Ag 1.83, 1 Hg 1.85

Compound: Ag4Hg2H
Source: the Alexandria database
Functional: PBE
Structure: relaxed

Results
* E_tot: -1.98 eV per atom
* total magnetization: 0.00 μB/cell

Cell: 4.1355 4.1355 14.8572 Å, 90.00 90.00 90.00°
Last column: nearest neighbours and their distance in Å.
Space group I4/mmm (No. 139)
Asymmetric unit:
Ag  0.0000  0.0000  0.1472 x4  1 H 2.19
Ag  0.0000  0.5000  0.0000 x4  2 H 2.07
Hg  0.0000  0.0000  0.3367 x4  5 Ag 2.82-2.93
H  0.0000  0.0000  0.0000 x2  6 Ag 2.07-2.19

Compound: AgHgH3
Source: the Alexandria database
Functional: PBE
Structure: relaxed

Results
* relative energy among the computed polymorphs: 102 meV/atom
* E_tot: -1.94 eV per atom
* total magnetization: 0.00 μB/cell

Cell: 3.9080 3.9080 3.9080 Å, 90.00 90.00 90.00°
Last column: nearest neighbours and their distance in Å.
Space group Pm-3m (No. 221)
Asymmetric unit:
Ag  0.0000  0.0000  0.0000 x1  12 H 2.76
Hg  0.5000  0.5000  0.5000 x1  6 H 1.95
H  0.0000  0.5000  0.5000 x3  2 Hg 1.95

Compound: AgHg3H2
Source: the Alexandria database
Functional: PBE
Structure: relaxed

Results
* E_tot: -1.46 eV per atom
* total magnetization: 0.00 μB/cell

Cell: 5.8350 3.0449 7.1958 Å, 90.00 113.54 90.00°
Last column: nearest neighbours and their distance in Å.
Space group P2/m (No. 10)
Asymmetric unit:
Ag  0.0000  0.0000  0.0000 x1  6 Hg 2.92-2.99, 2 Ag 3.04
Hg  0.1961  0.5000  0.3902 x2  2 H 2.78, 2 Ag 2.99, 2 Hg 3.04
Hg  0.5000  0.0000  0.0000 x1  2 H 1.69
H  0.3703  0.0000  0.7433 x2  1 Hg 1.69

Compound: AgHg3H
Source: the Alexandria database
Functional: PBE
Structure: relaxed

Results
* relative energy among the computed polymorphs: 285 meV/atom
* E_tot: -1.00 eV per atom
* total magnetization: 0.00 μB/cell

Cell: 4.5824 4.5824 4.5824 Å, 90.00 90.00 90.00°
Last column: nearest neighbours and their distance in Å.
Space group Pm-3m (No. 221)
Asymmetric unit:
Ag  0.0000  0.0000  0.0000 x1  12 Hg 3.24
Hg  0.0000  0.5000  0.5000 x3  2 H 2.29
H  0.5000  0.5000  0.5000 x1  6 Hg 2.29

Compound: AgHg4H2
Source: the Alexandria database
Functional: PBE
Structure: relaxed

Results
* E_tot: -1.23 eV per atom
* total magnetization: 0.00 μB/cell

Cell: 15.7052 3.1633 5.8116 Å, 90.00 105.24 90.00°
Last column: nearest neighbours and their distance in Å.
Space group C2/m (No. 12)
Asymmetric unit:
Ag  0.0000  0.0000  0.0000 x2  6 Hg 2.90-3.04, 2 Ag 3.16
Hg  0.1021  0.0000  0.6223 x4  2 H 3.01, 1 Ag 3.04, 5 Hg 3.15-3.33
Hg  0.1581  0.5000  0.1786 x4  2 H 1.92
H  0.2293  0.0000  0.2342 x4  2 Hg 1.92

Compound: Ag2HgH
Source: the Alexandria database
Functional: PBE
Structure: relaxed

Results
* relative energy among the computed polymorphs: 19 meV/atom
* E_tot: -2.11 eV per atom
* total magnetization: 0.00 μB/cell

Cell: 6.0996 6.0996 7.2362 Å, 90.00 90.00 90.00°
Last column: nearest neighbours and their distance in Å.
Space group I-42d (No. 122)
Asymmetric unit:
Ag  0.1118  0.2500  0.1250 x8  2 H 1.90
Hg  0.0000  0.0000  0.5000 x4  8 Ag 2.96-3.19
H  0.0000  0.0000  0.0000 x4  4 Ag 1.90

Compound: AgHgHIr2
Source: the Alexandria database
Functional: PBE
Structure: relaxed

Results
* E_tot: -3.39 eV per atom
* total magnetization: 1.19 μB/cell

Cell: 5.1932 5.1932 3.1562 Å, 90.00 90.00 90.00°
Last column: nearest neighbours and their distance in Å.
Space group P4/mmm (No. 123)
Asymmetric unit:
Ag  0.0000  0.0000  0.0000 x1  8 Ir 3.04, 2 Ag 3.16
Hg  0.5000  0.5000  0.5000 x1  2 H 1.58
H  0.5000  0.5000  0.0000 x1  2 Hg 1.58
Ir  0.0000  0.5000  0.5000 x2  2 Hg 2.60

Compound: Ag2HgHIr
Source: the Alexandria database
Functional: PBE
Structure: relaxed

Results
* E_tot: -3.05 eV per atom
* total magnetization: 0.01 μB/cell

Cell: 5.2824 5.2824 3.2346 Å, 90.00 90.00 90.00°
Last column: nearest neighbours and their distance in Å.
Space group P4/mmm (No. 123)
Asymmetric unit:
Ag  0.0000  0.5000  0.0000 x2  2 Ir 2.64
Hg  0.0000  0.0000  0.5000 x1  8 Ag 3.10, 2 Hg 3.23
H  0.5000  0.5000  0.5000 x1  2 Ir 1.62
Ir  0.5000  0.5000  0.0000 x1  2 H 1.62

Compound: K2AgHgH
Source: the Alexandria database
Functional: PBE
Structure: relaxed

Results
* relative energy among the computed polymorphs: 52 meV/atom
* E_tot: -1.72 eV per atom
* total magnetization: 0.00 μB/cell

Cell: 5.4140 5.4140 4.6641 Å, 90.00 90.00 90.00°
Last column: nearest neighbours and their distance in Å.
Space group P4/mmm (No. 123)
Asymmetric unit:
K  0.0000  0.5000  0.0000 x2  2 H 2.71
Ag  0.0000  0.0000  0.5000 x1  8 K 3.57, 4 Hg 3.83
Hg  0.5000  0.5000  0.5000 x1  2 H 2.33
H  0.5000  0.5000  0.0000 x1  2 Hg 2.33

Compound: K2AgHgH6
Source: the Alexandria database
Functional: PBE
Structure: relaxed

Results
* E_tot: -2.52 eV per atom
* total magnetization: 0.00 μB/cell

Cell: 8.0648 8.2674 5.7694 Å, 90.00 134.29 90.00°
Last column: nearest neighbours and their distance in Å.
Space group C2/m (No. 12)
Asymmetric unit:
K  0.0000  0.2499  0.0000 x4  12 H 2.90-2.94
Ag  0.0000  0.0000  0.5000 x2  4 H 1.80-1.82
Hg  0.0000  0.5000  0.5000 x2  2 H 1.76
H  0.0000  0.2199  0.5000 x4  1 Ag 1.82
H  0.2187  0.0000  0.9362 x4  1 Ag 1.80
H  0.2190  0.5000  0.5009 x4  1 Hg 1.76

Compound: K2AgHgH
Source: the Alexandria database
Functional: PBE
Structure: relaxed

Results
* relative energy among the computed polymorphs: 0 meV/atom
* E_tot: -1.78 eV per atom
* total magnetization: 0.00 μB/cell

Cell: 5.9827 5.9827 3.8640 Å, 90.00 90.00 90.00°
Last column: nearest neighbours and their distance in Å.
Space group P4/mmm (No. 123)
Asymmetric unit:
K  0.0000  0.5000  0.0000 x2  2 H 2.99
Ag  0.0000  0.0000  0.5000 x1  2 H 1.93
Hg  0.5000  0.5000  0.5000 x1  8 K 3.56, 2 Hg 3.86
H  0.0000  0.0000  0.0000 x1  2 Ag 1.93

Compound: LaAg2HgH
Source: the Alexandria database
Functional: PBE
Structure: relaxed

Results
* E_tot: -2.98 eV per atom
* total magnetization: 0.00 μB/cell

Cell: 4.6964 4.6964 4.6239 Å, 90.00 90.00 90.00°
Last column: nearest neighbours and their distance in Å.
Space group P4/mmm (No. 123)
Asymmetric unit:
La  0.0000  0.0000  0.0000 x1  2 H 2.31
Ag  0.0000  0.5000  0.5000 x2  2 H 2.35
Hg  0.5000  0.5000  0.0000 x1  8 Ag 3.30, 4 La 3.32
H  0.0000  0.0000  0.5000 x1  2 La 2.31, 4 Ag 2.35

Compound: La2AgHgH
Source: the Alexandria database
Functional: PBE
Structure: relaxed

Results
* relative energy among the computed polymorphs: 74 meV/atom
* E_tot: -3.57 eV per atom
* total magnetization: 0.00 μB/cell

Cell: 4.9979 4.9979 4.5922 Å, 90.00 90.00 90.00°
Last column: nearest neighbours and their distance in Å.
Space group P4/mmm (No. 123)
Asymmetric unit:
La  0.0000  0.5000  0.0000 x2  2 H 2.50
Ag  0.0000  0.0000  0.5000 x1  8 La 3.39, 4 Hg 3.53
Hg  0.5000  0.5000  0.5000 x1  2 H 2.30
H  0.5000  0.5000  0.0000 x1  2 Hg 2.30, 4 La 2.50

Compound: La2AgHgH
Source: the Alexandria database
Functional: PBE
Structure: relaxed

Results
* relative energy among the computed polymorphs: 0 meV/atom
* E_tot: -3.64 eV per atom
* total magnetization: 0.00 μB/cell

Cell: 5.1016 5.1016 4.4018 Å, 90.00 90.00 90.00°
Last column: nearest neighbours and their distance in Å.
Space group P4/mmm (No. 123)
Asymmetric unit:
La  0.0000  0.5000  0.0000 x2  2 H 2.55
Ag  0.0000  0.0000  0.5000 x1  2 H 2.20
Hg  0.5000  0.5000  0.5000 x1  8 La 3.37, 4 Ag 3.61
H  0.0000  0.0000  0.0000 x1  2 Ag 2.20